[1]
Density functional theory data (PBE-GGA) for crystalline BaZnInBi2 at its relaxed geometry.

a = 7.118 Å, b = 7.118 Å, c = 10.128 Å
α = 101.75°, β = 101.75°, γ = 43.25°
Fractional positions:
Ba: 0.132 0.132 0.208
Ba: 0.868 0.868 0.792
Zn: 0.096 0.096 0.561
Zn: 0.904 0.904 0.439
In: 0.433 0.433 0.275
In: 0.567 0.567 0.725
Bi: 0.164 0.164 0.859
Bi: 0.343 0.343 0.542
Bi: 0.657 0.657 0.458
Bi: 0.836 0.836 0.141

## Properties
Space-group type   C2/m, No. 12
Offset from the most stable computed form   0 meV per atom
ΔH_f (0 K)   -0.3160 eV per atom

***

[2]
Density functional theory data (PBE-GGA) for crystalline Tm2ThTl4 at its relaxed geometry.

a = 9.319 Å, b = 9.319 Å, c = 9.319 Å
α = 32.71°, β = 32.71°, γ = 32.71°
Fractional positions:
Tm: 0.248 0.248 0.248
Tm: 0.752 0.752 0.752
Th: 0.000 0.000 0.000
Tl: 0.131 0.131 0.131
Tl: 0.383 0.383 0.383
Tl: 0.617 0.617 0.617
Tl: 0.869 0.869 0.869

## Properties
Space-group type   R-3m, No. 166
Offset from the most stable computed form   0 meV per atom
ΔH_f (0 K)   -0.1271 eV per atom

***

[3]
Density functional theory data (PBE-GGA) for crystalline Dy2Ho3Tl3 at its relaxed geometry.

a = 4.952 Å, b = 4.957 Å, c = 9.086 Å
α = 90.00°, β = 90.00°, γ = 90.00°
Fractional positions:
Dy: 0.000 0.000 0.238
Dy: 0.000 0.000 0.762
Ho: 0.500 0.000 0.500
Ho: 0.500 0.500 0.237
Ho: 0.500 0.500 0.763
Tl: 0.000 0.500 0.000
Tl: 0.000 0.500 0.500
Tl: 0.500 0.000 0.000

## Properties
Space-group type   Pmmm, No. 47
Offset from the most stable computed form   28 meV per atom
ΔH_f (0 K)   -0.2299 eV per atom

***

[4]
Density functional theory data (PBE-GGA) for crystalline Be4Ir5W at its relaxed geometry.

a = 2.809 Å, b = 2.809 Å, c = 15.078 Å
α = 90.00°, β = 90.00°, γ = 90.00°
Fractional positions:
Be: 0.000 0.000 0.093
Be: 0.000 0.000 0.278
Be: 0.000 0.000 0.722
Be: 0.000 0.000 0.907
Ir: 0.500 0.500 0.000
Ir: 0.500 0.500 0.186
Ir: 0.500 0.500 0.375
Ir: 0.500 0.500 0.625
Ir: 0.500 0.500 0.814
W: 0.000 0.000 0.500

## Properties
Space-group type   P4/mmm, No. 123
ΔH_f (0 K)   -0.5217 eV per atom

***

[5]
Density functional theory data (PBE-GGA) for crystalline AlCuSb at its relaxed geometry.

a = 4.390 Å, b = 4.390 Å, c = 4.390 Å
α = 60.00°, β = 60.00°, γ = 60.00°
Fractional positions:
Al: 0.000 0.000 0.000
Cu: 0.750 0.750 0.750
Sb: 0.500 0.500 0.500

## Properties
Formation energy from raw total energies   0.027 eV per atom
Space-group type   F-43m, No. 216
Offset from the most stable computed form   22 meV per atom

***

[6]
Density functional theory data (PBE-GGA) for crystalline FeCoPt2 at its relaxed geometry.

a = 2.728 Å, b = 4.344 Å, c = 4.651 Å
α = 90.00°, β = 90.00°, γ = 90.00°
Fractional positions:
Fe: 0.000 0.000 0.000
Co: 0.000 0.500 0.333
Pt: 0.500 0.000 0.481
Pt: 0.500 0.500 0.843

## Properties
Space-group type   Pmm2, No. 25
ΔH_f (0 K)   -0.1764 eV per atom

***

[7]
Density functional theory data (PBE-GGA) for crystalline CaAlSe2N at its relaxed geometry.

a = 5.194 Å, b = 5.194 Å, c = 3.690 Å
α = 90.00°, β = 90.00°, γ = 90.00°
Fractional positions:
Ca: 0.000 0.000 0.000
Al: 0.500 0.500 0.500
Se: 0.000 0.500 0.500
Se: 0.500 0.000 0.500
N: 0.500 0.500 0.000

## Properties
Formation energy from raw total energies   -0.566 eV per atom
Space-group type   P4/mmm, No. 123
Offset from the most stable computed form   0 meV per atom

***

[8]
Density functional theory data (PBE-GGA) for crystalline Zn3CuP2O9 at its relaxed geometry.

a = 6.415 Å, b = 6.415 Å, c = 9.857 Å
α = 112.37°, β = 112.37°, γ = 78.60°
Fractional positions:
Zn: 0.184 0.793 0.668
Zn: 0.207 0.816 0.332
Zn: 0.346 0.346 0.388
Zn: 0.654 0.654 0.612
Zn: 0.793 0.184 0.668
Zn: 0.816 0.207 0.332
Cu: 0.310 0.690 0.000
Cu: 0.690 0.310 0.000
P: 0.202 0.202 0.000
P: 0.259 0.259 0.642
P: 0.741 0.741 0.358
P: 0.798 0.798 0.000
O: 0.055 0.741 0.085
O: 0.119 0.119 0.670
O: 0.188 0.188 0.456
O: 0.194 0.511 0.709
O: 0.234 0.234 0.168
O: 0.259 0.945 0.915
O: 0.322 0.678 0.500
O: 0.356 0.356 0.992
O: 0.489 0.806 0.291
O: 0.511 0.194 0.709
O: 0.644 0.644 0.008
O: 0.678 0.322 0.500
O: 0.741 0.055 0.085
O: 0.766 0.766 0.832
O: 0.806 0.489 0.291
O: 0.812 0.812 0.544
O: 0.881 0.881 0.330
O: 0.945 0.259 0.915

## Properties
Formation energy from raw total energies   -1.687 eV per atom
Space-group type   C2/m, No. 12

***

[9]
Density functional theory data (PBE-GGA) for crystalline YTlSbW2 at its relaxed geometry.

a = 5.054 Å, b = 5.054 Å, c = 5.472 Å
α = 90.00°, β = 90.00°, γ = 90.00°
Fractional positions:
Y: 0.000 0.000 0.000
Tl: 0.000 0.000 0.500
Sb: 0.500 0.500 0.000
W: 0.000 0.500 0.500
W: 0.500 0.000 0.500

## Properties
Formation energy from raw total energies   2.024 eV per atom
Space-group type   P4/mmm, No. 123

***

[10]
Density functional theory data (PBE-GGA) for crystalline TlAuCl at its relaxed geometry.

a = 4.899 Å, b = 4.899 Å, c = 4.899 Å
α = 60.00°, β = 60.00°, γ = 60.00°
Fractional positions:
Tl: 0.000 0.000 0.000
Au: 0.750 0.750 0.750
Cl: 0.500 0.500 0.500

## Properties
Formation energy from raw total energies   -0.117 eV per atom
Space-group type   F-43m, No. 216
Offset from the most stable computed form   92 meV per atom

***

[11]
Density functional theory data (PBE-GGA) for crystalline NaLiHo at its relaxed geometry.

a = 3.389 Å, b = 5.780 Å, c = 8.961 Å
α = 75.94°, β = 89.95°, γ = 89.78°
Fractional positions:
Na: 0.249 0.271 0.443
Na: 0.751 0.729 0.557
Li: 0.247 0.621 0.876
Li: 0.753 0.379 0.124
Ho: 0.253 0.871 0.163
Ho: 0.747 0.129 0.837

## Properties
Space-group type   P-1, No. 2
Offset from the most stable computed form   23 meV per atom
ΔH_f (0 K)   0.1899 eV per atom